A relaxed structure of Sr2POs, computed with GGA-PBE.

Structure (extended XYZ):
```
4
Lattice="-2.413 2.413 4.139 2.413 -2.413 4.139 2.413 2.413 -4.139" Properties=species:S:1:pos:R:3 pbc="T T T"
Sr 2.413 0.000 2.069
Sr 0.000 2.413 2.069
P 0.000 0.000 0.000
Os 0.000 0.000 4.139
```

Its total magnetization is 0.85 μB per cell. Its calculated total energy is -4.650 eV per atom. The formation energy comes out at 1.4 eV/f.u. The symmetry is I4/mmm (139). For the density of states at the Fermi level, the calculation gives 4.263 states/eV/cell.

---

A relaxed structure of SrPOs2, computed with GGA-PBE.

Structure (extended XYZ):
```
4
Lattice="4.783 -1.531 0.000 4.783 1.531 0.000 -1.955 0.000 5.531" Properties=species:S:1:pos:R:3 pbc="T T T"
Sr 0.000 0.000 0.000
P 6.940 0.000 1.770
Os 0.970 0.000 3.135
Os 3.707 0.000 2.829
```

Its total magnetization is 0.00 μB per cell. Its calculated total energy is -7.266 eV per atom. The formation energy comes out at 0.5 eV/f.u. The symmetry is Cm (8). For the density of states at the Fermi level, the calculation gives 3.681 states/eV/cell.

---

A relaxed structure of SrP2Os, computed with GGA-PBE.

Structure (extended XYZ):
```
4
Lattice="-1.625 1.771 6.700 1.625 -1.771 6.700 1.625 1.771 -6.700" Properties=species:S:1:pos:R:3 pbc="T T T"
Sr 0.000 0.000 0.000
P 0.000 0.000 8.478
P 0.000 1.771 4.206
Os 1.625 0.000 3.277
```

Its total magnetization is 0.00 μB per cell. Its calculated total energy is -6.162 eV per atom. The value obtained for the energy relative to the lowest polymorph listed for this composition is 362 meV/atom. The formation energy comes out at -0.9 eV/f.u. The symmetry is Imm2 (44). For the density of states at the Fermi level, the calculation gives 2.082 states/eV/cell.

---

A relaxed structure of SrP2Os, computed with GGA-PBE.

Structure (extended XYZ):
```
4
Lattice="1.987 1.147 5.869 -1.987 1.147 5.869 0.000 -2.294 5.869" Properties=species:S:1:pos:R:3 pbc="T T T"
Sr 0.000 0.000 0.000
P 0.000 0.000 9.636
P 0.000 0.000 13.842
Os 0.000 0.000 3.274
```

Its total magnetization is 0.00 μB per cell. Its calculated total energy is -6.473 eV per atom. The value obtained for the energy relative to the lowest polymorph listed for this composition is 51 meV/atom. The formation energy comes out at -2.2 eV/f.u. The symmetry is R3m (160). For the density of states at the Fermi level, the calculation gives 1.123 states/eV/cell.